4
Lattice="0.000 3.394 3.394 3.394 0.000 3.394 3.394 3.394 0.000" Properties=species:S:1:pos:R:3 comment="Mg2ZrTa | Alexandria via LeMat-Bulk | PBEsol | relaxed" volume_a3_per_atom=19.54 magmom_total_mub_per_fu=0.00 final_energy_ev_per_atom=-5.83 sg=Fm-3m crystal_system=cubic pbc="T T T"
Mg 1.697 1.697 1.697
Mg 5.091 5.091 5.091
Zr 0.000 0.000 0.000
Ta 3.394 3.394 3.394


5
Lattice="4.254 0.000 0.000 0.000 4.254 0.000 0.000 0.000 4.648" Properties=species:S:1:pos:R:3 comment="MgMnCuSi2 | Alexandria via LeMat-Bulk | PBEsol | relaxed" volume_a3_per_atom=16.82 magmom_total_mub_per_fu=0.59 final_energy_ev_per_atom=-5.12 sg=P4/mmm crystal_system=tetragonal pbc="T T T"
Mg 0.000 0.000 0.000
Mn 2.127 2.127 2.324
Cu 2.127 2.127 0.000
Si 0.000 2.127 2.324
Si 2.127 0.000 2.324


4
Lattice="2.910 0.000 0.000 0.000 3.559 0.000 0.000 0.000 7.018" Properties=species:S:1:pos:R:3 comment="Cu2TeAs | Alexandria via LeMat-Bulk | PBEsol | relaxed" volume_a3_per_atom=18.17 magmom_total_mub_per_fu=0.00 final_energy_ev_per_atom=-4.21 sg=Pmm2 crystal_system=orthorhombic pbc="T T T"
Cu 0.000 0.000 0.000
Cu 1.455 1.779 1.261
Te 0.000 0.000 2.841
As 1.455 1.779 5.851


4
Lattice="3.620 0.000 0.000 0.000 3.620 0.000 0.000 0.000 5.708" Properties=species:S:1:pos:R:3 comment="YPtAu2 | Alexandria via LeMat-Bulk | PBEsol | relaxed" volume_a3_per_atom=18.70 magmom_total_mub_per_fu=0.00 final_energy_ev_per_atom=-6.12 sg=P4mm crystal_system=tetragonal pbc="T T T"
Y 0.000 0.000 0.000
Pt 1.810 1.810 4.329
Au 0.000 0.000 2.895
Au 1.810 1.810 1.580


4
Lattice="2.711 -4.725 0.000 2.711 4.725 0.000 0.000 0.000 2.647" Properties=species:S:1:pos:R:3 comment="CaReW2 | Alexandria via LeMat-Bulk | PBEsol | relaxed" volume_a3_per_atom=16.95 magmom_total_mub_per_fu=0.00 final_energy_ev_per_atom=-9.90 sg=Cmmm crystal_system=orthorhombic pbc="T T T"
Ca 0.000 0.000 0.000
Re 2.711 0.000 0.000
W 1.355 2.362 1.324
W 1.355 -2.362 1.324


4
Lattice="6.853 -1.876 0.000 6.853 1.876 0.000 -1.097 0.000 3.864" Properties=species:S:1:pos:R:3 comment="ScSiPb2 | Alexandria via LeMat-Bulk | PBEsol | relaxed" volume_a3_per_atom=24.84 magmom_total_mub_per_fu=0.00 final_energy_ev_per_atom=-5.17 sg=C2/m crystal_system=monoclinic pbc="T T T"
Sc 0.000 0.000 0.000
Si 6.305 0.000 1.932
Pb 1.761 0.000 2.638
Pb 10.849 0.000 1.227


3
Lattice="3.528 0.000 0.000 0.000 3.528 0.000 0.000 0.000 2.451" Properties=species:S:1:pos:R:3 comment="Be2Co | Alexandria via LeMat-Bulk | PBEsol | relaxed" volume_a3_per_atom=10.17 magmom_total_mub_per_fu=0.00 final_energy_ev_per_atom=-5.20 sg=P4/mmm crystal_system=tetragonal pbc="T T T"
Be 0.000 1.764 0.000
Be 1.764 0.000 0.000
Co 0.000 0.000 1.225


5
Lattice="4.323 0.000 0.000 0.000 4.323 0.000 0.000 0.000 7.154" Properties=species:S:1:pos:R:3 comment="CrFe2SeI | Alexandria via LeMat-Bulk | PBEsol | relaxed" volume_a3_per_atom=26.74 magmom_total_mub_per_fu=10.39 final_energy_ev_per_atom=-5.67 sg=P4/mmm crystal_system=tetragonal pbc="T T T"
Cr 0.000 0.000 0.000
Fe 0.000 2.161 3.577
Fe 2.161 0.000 3.577
Se 2.161 2.161 3.577
I 2.161 2.161 0.000


Copy entry 1 word for word.
4
Lattice="0.000 3.394 3.394 3.394 0.000 3.394 3.394 3.394 0.000" Properties=species:S:1:pos:R:3 comment="Mg2ZrTa | Alexandria via LeMat-Bulk | PBEsol | relaxed" volume_a3_per_atom=19.54 magmom_total_mub_per_fu=0.00 final_energy_ev_per_atom=-5.83 sg=Fm-3m crystal_system=cubic pbc="T T T"
Mg 1.697 1.697 1.697
Mg 5.091 5.091 5.091
Zr 0.000 0.000 0.000
Ta 3.394 3.394 3.394


Q: Number 7 is which compound?
A: Be2Co


What did the fifth record say?
4
Lattice="2.711 -4.725 0.000 2.711 4.725 0.000 0.000 0.000 2.647" Properties=species:S:1:pos:R:3 comment="CaReW2 | Alexandria via LeMat-Bulk | PBEsol | relaxed" volume_a3_per_atom=16.95 magmom_total_mub_per_fu=0.00 final_energy_ev_per_atom=-9.90 sg=Cmmm crystal_system=orthorhombic pbc="T T T"
Ca 0.000 0.000 0.000
Re 2.711 0.000 0.000
W 1.355 2.362 1.324
W 1.355 -2.362 1.324